No. 1
Below is a relaxed structure of Cs2Tl2Ga, with properties calculated at the PBE level.

Unit cell a=7.3313 b=23.5825 c=5.7277 alpha=90.00 beta=90.00 gamma=90.00
Closest atoms and distances in Å follow each position.
Space group Ibam (No. 72)
One atom of each set of equivalent atoms:
Cs 0.2356 0.1476 0.0000 (multiplicity 8)  3 Tl 3.80-3.96, 2 Ga 4.14
Tl 0.1655 0.4540 0.0000 (multiplicity 8)  2 Ga 3.04, 1 Tl 3.26
Ga 0.0000 0.0000 0.2500 (multiplicity 4)  2 Ga 2.86, 4 Tl 3.04

## Properties
ΔH_f (0 K)   -0.0663 eV/atom
E   -1.96 eV/atom

No. 2
Below is a relaxed structure of Ho5In, with properties calculated at the PBE level.

Unit cell a=4.8463 b=14.9695 c=4.8383 alpha=90.00 beta=90.00 gamma=90.00
Closest atoms and distances in Å follow each position.
Space group Cmmm (No. 65)
One atom of each set of equivalent atoms:
Ho 0.0000 0.0000 0.0000 (multiplicity 2)  4 In 3.42, 8 Ho 3.43-3.49
Ho 0.0000 0.1622 0.5000 (multiplicity 4)  10 Ho 3.43-3.57, 2 In 3.43
Ho 0.0000 0.3319 0.0000 (multiplicity 4)  10 Ho 3.43-3.51, 2 In 3.49
In 0.0000 0.5000 0.5000 (multiplicity 2)  12 Ho 3.42-3.49

## Properties
ΔH_f (0 K)   -0.1621 eV/atom
E   -4.43 eV/atom

- Number 1 is which compound?
  Cs2Tl2Ga